# 1
# Sc4TlP

Sc4TlP after structural relaxation (PBE, Alexandria via LeMat-Bulk).

Cell and atoms, written as POSCAR:
```
Sc4TlP
1.0
-1.449 2.442 5.014
-4.390 3.726 0.228
-4.912 -1.492 2.618
Sc Tl P
4 1 1
Direct
0.375 0.375 0.375 Sc
0.375 0.875 0.375 Sc
0.875 0.375 0.375 Sc
0.375 0.375 0.875 Sc
0.750 0.750 0.750 Tl
0.000 0.000 0.000 P
```

Values from the calculation:
The formation energy from the elements is 0.22 eV/atom. As for the space group: F-43m, No. 216. As for the calculated volume: 22.55 Å³/atom.

***

# 2
# Al2CdBr

Al2CdBr after structural relaxation (PBE, Alexandria via LeMat-Bulk).

Cell and atoms, written as POSCAR:
```
Al2CdBr
1.0
-1.974 -5.461 -0.457
-0.071 -4.877 -3.183
3.371 -4.012 1.495
Br Cd Al
1 1 2
Direct
0.750 0.750 0.750 Br
0.250 0.250 0.250 Cd
0.500 0.500 0.499 Al
0.000 0.000 0.001 Al
```

Values from the calculation:
The calculation puts the formation energy without anion corrections at 0.145 eV/atom. As for the space group: C2/m, No. 12. As for the calculated volume: 22.49 Å³/atom.